Compound: HoAgPO
Source: OQMD
Functional: GGA-PBE
Structure: optimized geometry

POSCAR file:
```
HoAgPO
1.0
3.940 0.000 0.000
0.000 6.304 0.000
0.000 0.000 5.660
Ho Ag P O
2 2 2 2
Cartesian
0.000 1.531 0.000 Ho
0.000 4.773 2.830 Ho
1.970 2.121 2.813 Ag
1.970 4.183 5.643 Ag
1.970 0.012 4.227 P
1.970 6.292 1.397 P
0.000 3.112 1.466 O
0.000 3.192 4.296 O
```

Output
* SG: Pmc2_1 (26)
* distance to the lowest polymorph of the same formula: 331.9 meV/atom
* E: -5.688 eV per atom

Compound: Cs2ZrAg2Se2S2
Source: OQMD
Functional: GGA-PBE
Structure: optimized geometry

POSCAR file:
```
Cs2ZrAg2Se2S2
1.0
3.148 -7.228 0.000
3.148 7.228 0.000
-0.107 0.000 6.280
Cs Zr Ag Se S
2 1 2 2 2
Cartesian
1.546 0.000 1.478 Cs
4.643 0.000 4.802 Cs
3.095 3.549 3.140 Zr
3.148 3.523 0.000 Ag
3.095 -3.712 3.140 Ag
1.410 -2.162 4.618 Se
4.780 -2.162 1.662 Se
1.685 2.116 4.522 S
4.504 2.116 1.758 S
```

Output
* SG: C2 (5)
* E: -4.495 eV per atom

Compound: PaCo
Source: OQMD
Functional: GGA-PBE
Structure: optimized geometry

POSCAR file:
```
PaCo
1.0
1.729 0.998 3.482
-1.729 0.998 3.482
0.000 -1.996 3.482
Pa Co
1 1
Cartesian
0.000 0.000 0.000 Pa
0.000 0.000 5.223 Co
```

Output
* SG: R-3m (166)
* formation enthalpy at 0 K: -0.2183 eV per atom
* E: -8.519 eV per atom

Compound: CsCu3SnSe4
Source: OQMD
Functional: GGA-PBE
Structure: optimized geometry

POSCAR file:
```
CsCu3SnSe4
1.0
5.979 0.000 0.000
0.000 7.906 0.000
-2.562 0.000 10.125
Cs Cu Sn Se
2 6 2 8
Cartesian
0.190 1.976 3.826 Cs
3.227 5.929 6.299 Cs
1.811 4.536 0.179 Cu
1.811 7.323 0.179 Cu
1.856 5.929 2.372 Cu
1.561 1.976 7.753 Cu
1.606 0.583 9.946 Cu
1.606 3.370 9.946 Cu
-1.255 1.976 7.969 Sn
4.672 5.929 2.156 Sn
0.120 1.976 0.151 Se
0.232 5.929 4.154 Se
0.268 4.121 8.036 Se
0.268 7.738 8.036 Se
3.149 0.168 2.089 Se
3.149 3.785 2.089 Se
3.185 1.976 5.971 Se
3.297 5.929 9.974 Se
```

Output
* SG: P2_1/m (11)
* distance to the lowest polymorph of the same formula: 0.0 meV/atom
* E: -3.757 eV per atom

Compound: SmYNi2
Source: OQMD
Functional: GGA-PBE
Structure: optimized geometry

POSCAR file:
```
SmYNi2
1.0
4.295 0.000 0.000
0.000 1.871 5.149
0.000 -1.871 5.149
Sm Y Ni
1 1 2
Cartesian
0.000 0.000 0.000 Sm
2.147 0.000 2.858 Y
0.000 0.000 7.351 Ni
2.147 0.000 5.834 Ni
```

Output
* SG: Amm2 (38)
* formation enthalpy at 0 K: -0.4074 eV per atom
* E: -5.985 eV per atom

Compound: PrInPt
Source: OQMD
Functional: GGA-PBE
Structure: optimized geometry

POSCAR file:
```
PrInPt
1.0
8.430 0.000 0.000
-4.215 7.301 0.000
0.000 0.000 3.374
Pr In Pt
3 3 3
Cartesian
-1.269 2.198 0.000 Pr
2.538 0.000 0.000 Pr
2.946 5.103 0.000 Pr
0.000 0.000 1.687 In
0.000 4.867 0.000 In
4.215 2.434 0.000 In
-2.690 4.660 1.687 Pt
1.525 2.641 1.687 Pt
5.381 0.000 1.687 Pt
```

Output
* SG: P-62m (189)
* E: -4.867 eV per atom

- The lowest E belongs to which entry?
  PaCo